Density functional theory data (PBE) for a geometry-optimized La4HoPb5 structure.

Properties
- Density of states at the Fermi level: 9.521 states/eV per cell
- Space group: P4/mmm (123)
- Total energy: -4.83 eV/atom
- Energy relative to the elements: -530 kJ/mol of formula units

Unit cell a=3.657 b=3.657 c=23.073 alpha=90.00 beta=90.00 gamma=90.00
Atoms (fractional coordinates):
La: 0.000 0.000 0.804
La: 0.000 0.000 0.602
La: 0.000 0.000 0.398
La: 0.000 0.000 0.196
Pb: 0.500 0.500 0.703
Pb: 0.500 0.500 0.297
Pb: 0.500 0.500 0.907
Pb: 0.500 0.500 0.500
Pb: 0.500 0.500 0.093
Ho: 0.000 0.000 0.000